# Sm3Ge4Pd2

Crystalline Sm3Ge4Pd2 at its relaxed geometry (PBE, Alexandria via LeMat-Bulk).

Calculated values
energy relative to the elements: -84 kJ/mol of atoms
relative energy among the computed polymorphs: 0.0000 eV/atom
total energy: -5.65 eV/atom

Cell lengths 11.051, 4.332, 8.432 Å; angles 90.00, 103.81, 90.00 degrees
Space group C2/m (No. 12)
Symmetry-distinct sites (fractional):
Sm (0.000, 0.000, 0.000)
Sm (0.165, 0.500, 0.663)
Ge (0.058, 0.000, 0.389)
Ge (0.227, 0.500, 0.068)
Pd (0.105, 0.500, 0.276)

# SmGe2Pd6

Crystalline SmGe2Pd6 at its relaxed geometry (PBE, Alexandria via LeMat-Bulk).

Calculated values
energy relative to the elements: -49 kJ/mol of atoms
total energy: -5.52 eV/atom

Cell lengths 5.5672, 5.5672, 6.5833 Å; angles 90.00, 90.00, 120.00 degrees
Space group P6/mmm (No. 191)
Symmetry-distinct sites (fractional):
Sm (0.0000, 0.0000, 0.0000)
Ge (0.3333, 0.6667, 0.5000)
Pd (0.0000, 0.5000, 0.2093)

# Sm2Ge3Pd9

Crystalline Sm2Ge3Pd9 at its relaxed geometry (PBE, Alexandria via LeMat-Bulk).

Calculated values
energy relative to the elements: -70 kJ/mol of atoms
total energy: -5.73 eV/atom

Cell lengths 13.565, 7.808, 10.158 Å; angles 90.00, 116.33, 90.00 degrees
Space group C2/c (No. 15)
Symmetry-distinct sites (fractional):
Sm (0.171, 0.086, 0.249)
Ge (0.086, 0.237, 0.500)
Ge (0.250, 0.250, 0.000)
Pd (0.000, 0.368, 0.250)
Pd (0.057, 0.075, 0.920)
Pd (0.101, 0.411, 0.047)
Pd (0.105, 0.318, 0.747)
Pd (0.227, 0.412, 0.425)

# Sm3Ge2Pd3

Crystalline Sm3Ge2Pd3 at its relaxed geometry (PBE, Alexandria via LeMat-Bulk).

Calculated values
energy relative to the elements: -85 kJ/mol of atoms
total energy: -5.76 eV/atom

Cell lengths 7.671, 15.571, 5.784 Å; angles 90.00, 90.00, 90.00 degrees
Space group Pnma (No. 62)
Symmetry-distinct sites (fractional):
Sm (0.026, 0.108, 0.142)
Sm (0.164, 0.250, 0.628)
Ge (0.121, 0.608, 0.354)
Pd (0.176, 0.031, 0.589)
Pd (0.194, 0.750, 0.627)

# Sm4GePd3

Crystalline Sm4GePd3 at its relaxed geometry (PBE, Alexandria via LeMat-Bulk).

Calculated values
energy relative to the elements: -80 kJ/mol of atoms
total energy: -5.72 eV/atom

Cell lengths 3.948, 4.464, 10.941 Å; angles 90.00, 90.00, 90.00 degrees
Space group Pmm2 (No. 25)
Symmetry-distinct sites (fractional):
Sm (0.000, 0.000, 0.000)
Sm (0.000, 0.500, 0.273)
Sm (0.500, 0.000, 0.497)
Sm (0.500, 0.500, 0.775)
Ge (0.000, 0.000, 0.719)
Pd (0.000, 0.500, 0.555)
Pd (0.500, 0.000, 0.222)
Pd (0.500, 0.500, 0.053)

# SmGe3Pd10

Crystalline SmGe3Pd10 at its relaxed geometry (PBE, Alexandria via LeMat-Bulk).

Calculated values
energy relative to the elements: -52 kJ/mol of atoms
total energy: -5.57 eV/atom

Cell lengths 12.487, 12.487, 12.487 Å; angles 90.00, 90.00, 90.00 degrees
Space group Fm-3m (No. 225)
Symmetry-distinct sites (fractional):
Sm (0.250, 0.250, 0.250)
Ge (0.000, 0.000, 0.235)
Pd (0.000, 0.174, 0.326)
Pd (0.117, 0.117, 0.117)

Magnetization readings, ordered: 0.00 0.00 0.00 0.00 0.00 0.00 μB per cell